The following is a GGA-PBE calculation of crystalline Ca2PPt at its relaxed geometry, from Alexandria via LeMat-Bulk.

Output
Its excess energy over the best structure of this formula in the dataset is 0 meV per atom. Its space-group type is No. 11.

Structure (POSCAR):
```
Ca2PPt
1.0
-0.3610 -4.0162 1.5783
3.8177 1.1400 3.7741
-7.8717 1.7343 2.6125
Ca P Pt
4 2 2
direct
0.7500 0.2121 0.4387 Ca
0.2500 0.7879 0.5613 Ca
0.2500 0.7935 0.0854 Ca
0.7500 0.2065 0.9146 Ca
0.2500 0.3744 0.2126 P
0.7500 0.6256 0.7874 P
0.7500 0.5933 0.2728 Pt
0.2500 0.4067 0.7272 Pt
```

=====

The following is a GGA-PBE calculation of crystalline Ca2PPt at its relaxed geometry, from Alexandria via LeMat-Bulk.

Output
Its excess energy over the best structure of this formula in the dataset is 525 meV per atom. Its space-group type is No. 216.

Structure (POSCAR):
```
Ca2PPt
1.0
4.8538 0.0000 0.0000
2.4269 4.2035 0.0000
2.4269 1.4012 3.9631
Ca P Pt
2 1 1
direct
0.0000 0.0000 0.0000 Ca
0.2500 0.2500 0.2500 Ca
0.5000 0.5000 0.5000 P
0.7500 0.7500 0.7500 Pt
```

=====

The following is a GGA-PBE calculation of crystalline CaPPt2 at its relaxed geometry, from Alexandria via LeMat-Bulk.

Output
Its excess energy over the best structure of this formula in the dataset is 278 meV per atom. Its space-group type is No. 25.

Structure (POSCAR):
```
CaPPt2
1.0
-2.8929 0.8933 -1.5983
-1.3841 -3.0630 0.7933
-2.2188 2.3886 5.3509
Ca P Pt
1 1 2
direct
0.0000 0.0000 0.4892 Ca
0.5000 0.5000 0.8385 P
0.0000 0.0000 0.9576 Pt
0.5000 0.5000 0.2147 Pt
```

=====

The following is a GGA-PBE calculation of crystalline CaP2Pt at its relaxed geometry, from Alexandria via LeMat-Bulk.

Output
Its excess energy over the best structure of this formula in the dataset is 0 meV per atom. Its space-group type is No. 10.

Structure (POSCAR):
```
CaP2Pt
1.0
-1.3816 -3.4135 1.2190
1.0144 -1.8807 -4.1168
4.1928 -1.2837 1.1574
P Ca Pt
2 1 1
direct
0.0000 0.1302 0.9763 P
0.0000 0.3698 0.5237 P
0.5000 0.7500 0.7500 Ca
0.5000 0.2500 0.2500 Pt
```

=====

The following is a GGA-PBE calculation of crystalline CaP2Pt at its relaxed geometry, from Alexandria via LeMat-Bulk.

Output
Its excess energy over the best structure of this formula in the dataset is 250 meV per atom. Its space-group type is No. 6.

Structure (POSCAR):
```
CaP2Pt
1.0
-0.5122 -4.1546 -0.4948
1.3382 -0.6572 4.1330
-4.3373 0.4173 0.9855
Ca P Pt
1 2 1
direct
0.5000 0.7566 0.8058 Ca
0.0000 0.2900 0.9654 P
0.5000 0.3136 0.2665 P
0.0000 0.1397 0.4623 Pt
```

=====

The following is a GGA-PBE calculation of crystalline Ca4PPt at its relaxed geometry, from Alexandria via LeMat-Bulk.

Output
Its space-group type is No. 216.

Structure (POSCAR):
```
Ca4PPt
1.0
0.0000 4.2995 4.2995
4.2995 0.0000 4.2995
4.2995 4.2995 0.0000
Ca P Pt
4 1 1
direct
0.8748 0.3751 0.3751 Ca
0.3751 0.3751 0.8748 Ca
0.3751 0.8748 0.3751 Ca
0.3751 0.3751 0.3751 Ca
0.7500 0.7500 0.7500 P
0.0000 0.0000 0.0000 Pt
```

=====

The following is a GGA-PBE calculation of crystalline Ca3PPt3 at its relaxed geometry, from Alexandria via LeMat-Bulk.

Output
Its space-group type is No. 12.

Structure (POSCAR):
```
Ca3PPt3
1.0
4.1459 0.0000 0.6245
2.0599 5.1850 0.3986
-0.0063 -0.2553 14.1155
Ca P Pt
6 2 6
direct
0.5259 0.3347 0.6135 Ca
0.4741 0.6653 0.3865 Ca
0.2432 0.2866 0.2270 Ca
0.7568 0.7134 0.7730 Ca
0.3983 0.2797 0.9236 Ca
0.6017 0.7203 0.0764 Ca
0.7629 0.0740 0.4003 P
0.2371 0.9260 0.5997 P
0.8480 0.7569 0.5470 Pt
0.1520 0.2431 0.4530 Pt
0.1135 0.8534 0.9196 Pt
0.8865 0.1466 0.0804 Pt
0.9350 0.8826 0.2474 Pt
0.0650 0.1174 0.7526 Pt
```

=====

The following is a GGA-PBE calculation of crystalline Ca2PPt at its relaxed geometry, from Alexandria via LeMat-Bulk.

Output
Its excess energy over the best structure of this formula in the dataset is 171 meV per atom. Its space-group type is No. 44.

Structure (POSCAR):
```
Ca2PPt
1.0
-3.6648 4.6322 -2.2270
-5.1204 -0.7672 -3.6113
2.9251 -1.5652 5.3705
Ca P Pt
2 1 1
direct
0.0203 0.0203 0.0000 Ca
0.7430 0.2430 0.5000 Ca
0.4395 0.4395 0.0000 P
0.2972 0.7972 0.5000 Pt
```

=====

The following is a GGA-PBE calculation of crystalline Ca2PPt at its relaxed geometry, from Alexandria via LeMat-Bulk.

Output
Its excess energy over the best structure of this formula in the dataset is 167 meV per atom. Its space-group type is No. 65.

Structure (POSCAR):
```
Ca2PPt
1.0
8.1894 0.0754 0.1613
-3.3448 3.5602 0.0665
1.4983 1.3559 2.9617
Ca P Pt
2 1 1
direct
0.0000 0.0000 0.0000 Ca
0.5000 0.0000 0.5000 Ca
0.0000 0.5000 0.5000 P
0.5000 0.5000 0.0000 Pt
```

=====

The following is a GGA-PBE calculation of crystalline Ca2PPt at its relaxed geometry, from Alexandria via LeMat-Bulk.

Output
Its excess energy over the best structure of this formula in the dataset is 76 meV per atom. Its space-group type is No. 160.

Structure (POSCAR):
```
Ca2PPt
1.0
7.7493 0.0005 0.0003
6.6443 3.9881 0.0003
6.6443 1.8412 3.5377
Ca P Pt
2 1 1
direct
0.0386 0.0386 0.0386 Ca
0.2116 0.2116 0.2116 Ca
0.4570 0.4570 0.4570 P
0.7927 0.7927 0.7927 Pt
```

=====

The following is a GGA-PBE calculation of crystalline CaPPt2 at its relaxed geometry, from Alexandria via LeMat-Bulk.

Output
Its excess energy over the best structure of this formula in the dataset is 125 meV per atom. Its space-group type is No. 166.

Structure (POSCAR):
```
CaPPt2
1.0
-1.5558 -1.1062 -5.3911
1.5427 -3.6424 -4.1305
-2.3939 -4.3416 -2.8510
Ca P Pt
1 1 2
direct
0.2500 0.2500 0.2500 Ca
0.7500 0.7500 0.7500 P
0.0449 0.0449 0.0449 Pt
0.4551 0.4551 0.4551 Pt
```

=====

The following is a GGA-PBE calculation of crystalline CaP2Pt at its relaxed geometry, from Alexandria via LeMat-Bulk.

Output
Its excess energy over the best structure of this formula in the dataset is 571 meV per atom. Its space-group type is No. 99.

Structure (POSCAR):
```
CaP2Pt
1.0
-1.2981 2.6424 -1.8359
-2.7964 -1.9111 -0.7735
-2.8272 2.1029 5.0258
Ca P Pt
1 2 1
direct
0.5000 0.5000 0.7799 Ca
0.0000 0.0000 0.0204 P
0.5000 0.5000 0.2913 P
0.0000 0.0000 0.4084 Pt
```

=====

| no. | total DFT energy (no corrections) (eV/atom) | calculated formation energy (eV per atom) | total magnetization (μB per cell) |
| --- | --- | --- | --- |
| 1 | -4.853 | -0.9897 | 0.00 |
| 2 | -4.328 | -0.4645 | 0.00 |
| 3 | -5.390 | -0.5167 | 0.00 |
| 4 | -5.610 | -0.8942 | 0.00 |
| 5 | -5.360 | -0.6447 | 0.00 |
| 6 | -2.874 | 0.3689 | 0.00 |
| 7 | -5.149 | -0.9292 | 0.00 |
| 8 | -4.682 | -0.8186 | 0.00 |
| 9 | -4.686 | -0.8227 | 0.00 |
| 10 | -4.778 | -0.9141 | 0.02 |
| 11 | -5.543 | -0.6698 | 0.00 |
| 12 | -5.039 | -0.3232 | 0.00 |